VASP calculation (GGA+U) on CsVOsO6 after structural relaxation.

Calculated values
uncorrected energy: -6.964 eV/atom
total magnetic moment: 7.3 μB/cell

Cell: 7.123 7.269 10.201 Å, 90.00 90.00 90.00°
Space group Imma (No. 74)
One atom of each set of equivalent atoms:
Cs1 0.000 0.250 0.120
V1 0.250 0.250 0.750
Os1 0.000 0.000 0.500
O1 0.000 0.250 0.430
O2 0.000 0.250 0.805
O3 0.188 0.065 0.624

---

VASP calculation (GGA+U) on CsV2OsO8 after structural relaxation.

Calculated values
uncorrected energy: -7.196 eV/atom
total magnetic moment: 1.2 μB/cell

Cell: 5.6147 5.6147 8.4771 Å, 90.00 90.00 120.00°
Space group P-3m1 (No. 164)
One atom of each set of equivalent atoms:
Cs1 0.0000 0.0000 0.0000
V1 0.3333 0.6667 0.7021
Os1 0.0000 0.0000 0.5000
O1 0.1615 0.3229 0.6316
O2 0.3333 0.6667 0.8979

---

VASP calculation (GGA+U) on CsOsWO6 after structural relaxation.

Calculated values
uncorrected energy: -7.089 eV/atom
total magnetic moment: 5.9 μB/cell

Cell: 7.258 7.422 10.467 Å, 90.00 90.00 90.00°
Space group Imma (No. 74)
One atom of each set of equivalent atoms:
Cs1 0.000 0.250 0.120
Os1 0.250 0.250 0.750
W1 0.000 0.000 0.500
O1 0.000 0.250 0.436
O2 0.000 0.250 0.800
O3 0.192 0.064 0.620